This record from Alexandria describes an optimized crystal structure of TcSe2Br. The functional is GGA-PBE.

Lattice parameters (Å, degrees): 10.167 3.357 12.850 90.00 90.00 90.00
Space group Pnma (No. 62)
Inequivalent atoms, fractional coordinates:
Tc1 0.008 0.250 0.094
Se1 0.076 0.250 0.779
Se2 0.174 0.750 0.024
Br1 0.093 0.750 0.362

## Properties
The raw formation energy is -0.1267 eV/atom. Its density of states at the Fermi level is 0.83 states/eV/atom. Its calculated total energy is -0.1793 Ha/atom. The calculated volume is 438.5 Å³ per cell.

***

This record from Alexandria describes an optimized crystal structure of TcSe2Br. The functional is GGA-PBE.

Lattice parameters (Å, degrees): 3.133 5.019 11.520 90.00 90.00 90.00
Space group Cmmm (No. 65)
Inequivalent atoms, fractional coordinates:
Tc1 0.000 0.000 0.000
Se1 0.000 0.500 0.176
Br1 0.000 0.000 0.500

## Properties
The raw formation energy is 0.2778 eV/atom. Its density of states at the Fermi level is 0.89 states/eV/atom. Its calculated total energy is -0.1644 Ha/atom. The calculated volume is 181.1 Å³ per cell.

***

This record from Alexandria describes an optimized crystal structure of TcSe2Br. The functional is GGA-PBE.

Lattice parameters (Å, degrees): 3.4092 3.4092 8.9992 90.00 90.00 120.00
Space group P3m1 (No. 156)
Inequivalent atoms, fractional coordinates:
Tc1 0.0000 0.0000 0.0000
Se1 0.3333 0.6667 0.8259
Se2 0.6667 0.3333 0.1851
Br1 0.3333 0.6667 0.4341

## Properties
The raw formation energy is -0.0728 eV/atom. Its density of states at the Fermi level is 0.63 states/eV/atom. Its calculated total energy is -0.1773 Ha/atom. The calculated volume is 90.6 Å³ per cell.

***

This record from Alexandria describes an optimized crystal structure of Tc2SeBr. The functional is GGA-PBE.

Lattice parameters (Å, degrees): 6.052 8.361 3.063 90.00 115.04 90.00
Space group C2/m (No. 12)
Inequivalent atoms, fractional coordinates:
Tc1 0.250 0.250 0.000
Se1 0.000 0.000 0.000
Br1 0.000 0.500 0.000

## Properties
The raw formation energy is 0.9169 eV/atom. Its density of states at the Fermi level is 1.53 states/eV/atom. Its calculated total energy is -0.2042 Ha/atom. The calculated volume is 140.4 Å³ per cell.

***

This record from Alexandria describes an optimized crystal structure of Tc2SeBr. The functional is GGA-PBE.

Lattice parameters (Å, degrees): 3.076 3.875 6.842 90.00 90.00 90.00
Space group Pmm2 (No. 25)
Inequivalent atoms, fractional coordinates:
Tc1 0.000 0.000 0.000
Tc2 0.500 0.500 0.171
Se1 0.500 0.500 0.825
Br1 0.000 0.000 0.362

## Properties
The raw formation energy is 0.2591 eV/atom. Its density of states at the Fermi level is 0.89 states/eV/atom. Its calculated total energy is -0.2283 Ha/atom. The calculated volume is 81.5 Å³ per cell.

***

This record from Alexandria describes an optimized crystal structure of TcSe2Br. The functional is GGA-PBE.

Lattice parameters (Å, degrees): 6.895 10.557 6.432 90.00 119.88 90.00
Space group Cc (No. 9)
Inequivalent atoms, fractional coordinates:
Tc1 0.000 0.105 0.000
Se1 0.159 0.301 0.139
Se2 0.209 0.055 0.798
Br1 0.264 0.393 0.724

## Properties
The raw formation energy is -0.1142 eV/atom. Its density of states at the Fermi level is 0.01 states/eV/atom. Its calculated total energy is -0.1788 Ha/atom. The calculated volume is 405.9 Å³ per cell.

***

This record from Alexandria describes an optimized crystal structure of TcSe2Br. The functional is GGA-PBE.

Lattice parameters (Å, degrees): 5.173 9.525 3.498 90.00 90.00 90.00
Space group Cmmm (No. 65)
Inequivalent atoms, fractional coordinates:
Tc1 0.000 0.000 0.000
Se1 0.000 0.189 0.500
Br1 0.000 0.500 0.000

## Properties
The raw formation energy is -0.0831 eV/atom. Its density of states at the Fermi level is 0.60 states/eV/atom. Its calculated total energy is -0.1777 Ha/atom. The calculated volume is 172.4 Å³ per cell.

***

This record from Alexandria describes an optimized crystal structure of TcSe2Br. The functional is GGA-PBE.

Lattice parameters (Å, degrees): 3.225 4.565 13.541 90.00 90.00 90.00
Space group Imm2 (No. 44)
Inequivalent atoms, fractional coordinates:
Tc1 0.000 0.000 0.000
Se1 0.000 0.000 0.537
Se2 0.000 0.500 0.639
Br1 0.000 0.500 0.347

## Properties
The raw formation energy is 0.0946 eV/atom. Its density of states at the Fermi level is 0.68 states/eV/atom. Its calculated total energy is -0.1712 Ha/atom. The calculated volume is 199.4 Å³ per cell.

***

This record from Alexandria describes an optimized crystal structure of TcSeBr2. The functional is GGA-PBE.

Lattice parameters (Å, degrees): 3.077 3.077 10.066 90.00 90.00 90.00
Space group P4mm (No. 99)
Inequivalent atoms, fractional coordinates:
Tc1 0.000 0.000 0.000
Se1 0.500 0.500 0.857
Br1 0.000 0.000 0.517
Br2 0.500 0.500 0.175

## Properties
The raw formation energy is 0.1055 eV/atom. Its density of states at the Fermi level is 1.00 states/eV/atom. Its calculated total energy is -0.1541 Ha/atom. The calculated volume is 95.3 Å³ per cell.

***

This record from Alexandria describes an optimized crystal structure of TcSeBr2. The functional is GGA-PBE.

Lattice parameters (Å, degrees): 6.674 8.690 4.885 90.00 132.86 90.00
Space group C2/m (No. 12)
Inequivalent atoms, fractional coordinates:
Tc1 0.000 0.000 0.000
Se1 0.000 0.500 0.000
Br1 0.250 0.250 0.500

## Properties
The raw formation energy is 0.7443 eV/atom. Its density of states at the Fermi level is 0.58 states/eV/atom. Its calculated total energy is -0.1306 Ha/atom. The calculated volume is 207.7 Å³ per cell.

***

This record from Alexandria describes an optimized crystal structure of TcSe2Br. The functional is GGA-PBE.

Lattice parameters (Å, degrees): 3.012 3.012 10.189 90.00 90.00 90.00
Space group P4/mmm (No. 123)
Inequivalent atoms, fractional coordinates:
Tc1 0.000 0.000 0.000
Se1 0.500 0.500 0.155
Br1 0.000 0.000 0.500

## Properties
The raw formation energy is -0.0797 eV/atom. Its density of states at the Fermi level is 0.82 states/eV/atom. Its calculated total energy is -0.1776 Ha/atom. The calculated volume is 92.4 Å³ per cell.

***

This record from Alexandria describes an optimized crystal structure of TcSeBr2. The functional is GGA-PBE.

Lattice parameters (Å, degrees): 4.741 14.362 3.597 90.00 90.00 90.00
Space group Cmmm (No. 65)
Inequivalent atoms, fractional coordinates:
Tc1 0.000 0.000 0.000
Se1 0.000 0.500 0.000
Br1 0.000 0.131 0.500

## Properties
The raw formation energy is -0.1283 eV/atom. Its density of states at the Fermi level is 0.57 states/eV/atom. Its calculated total energy is -0.1627 Ha/atom. The calculated volume is 244.9 Å³ per cell.

***

This record from Alexandria describes an optimized crystal structure of TcSeBr2. The functional is GGA-PBE.

Lattice parameters (Å, degrees): 3.3261 3.3261 32.0374 90.00 90.00 120.00
Space group R-3m (No. 166, hexagonal axes)
Inequivalent atoms, fractional coordinates:
Tc1 0.0000 0.0000 0.0000
Se1 0.0000 0.0000 0.5000
Br1 0.0000 0.0000 0.3870

## Properties
The raw formation energy is 0.3841 eV/atom. Its density of states at the Fermi level is 0.56 states/eV/atom. Its calculated total energy is -0.1439 Ha/atom. The calculated volume is 306.9 Å³ per cell.

***

This record from Alexandria describes an optimized crystal structure of TcSeBr. The functional is GGA-PBE.

Lattice parameters (Å, degrees): 6.179 6.179 6.179 90.00 90.00 90.00
Space group F-43m (No. 216)
Inequivalent atoms, fractional coordinates:
Tc1 0.000 0.000 0.000
Se1 0.250 0.250 0.750
Br1 0.250 0.250 0.250

## Properties
The raw formation energy is 0.1600 eV/atom. Its density of states at the Fermi level is 0.07 states/eV/atom. Its calculated total energy is -0.1843 Ha/atom. The calculated volume is 235.9 Å³ per cell.